[1]
# PrGa4Pd6

Crystalline PrGa4Pd6 at its relaxed geometry (PBE-GGA, OQMD).

a b c (Å): 7.3747 7.3747 3.9738
angles (deg): 90.00 90.00 120.00
Positions (direct):
Ga  0.3333  0.6667  0.0000
Ga  0.4008  0.2004  0.5000
Ga  0.7996  0.2004  0.5000
Ga  0.7996  0.5992  0.5000
Pd  0.5338  0.0675  0.0000
Pd  0.5338  0.4662  0.0000
Pd  0.9325  0.4662  0.0000
Pd  0.1997  0.3995  0.5000
Pd  0.1997  0.8003  0.5000
Pd  0.6005  0.8003  0.5000
Pr  0.0000  0.0000  0.0000

M_tot	0.00	Bohr magnetons per cell


[2]
# MgZnFeAu

Crystalline MgZnFeAu at its relaxed geometry (PBE-GGA, OQMD).

a b c (Å): 4.4647 4.4647 4.4647
angles (deg): 60.00 60.00 60.00
Positions (direct):
Au  0.5000  0.5000  0.5000
Fe  0.7500  0.7500  0.7500
Mg  0.2500  0.2500  0.2500
Zn  0.0000  0.0000  0.0000

energy relative to the lowest polymorph listed for this composition	0	meV per atom
M_tot	2.77	Bohr magnetons per cell


[3]
# HoZnB

Crystalline HoZnB at its relaxed geometry (PBE-GGA, OQMD).

a b c (Å): 4.3672 4.3672 4.3672
angles (deg): 60.00 60.00 60.00
Positions (direct):
B  0.7500  0.7500  0.7500
Ho  0.0000  0.0000  0.0000
Zn  0.2500  0.2500  0.2500

energy relative to the lowest polymorph listed for this composition	936	meV per atom
M_tot	0.00	Bohr magnetons per cell


[4]
# BaYZnAu

Crystalline BaYZnAu at its relaxed geometry (PBE-GGA, OQMD).

a b c (Å): 5.3947 5.3947 5.3947
angles (deg): 60.00 60.00 60.00
Positions (direct):
Au  0.7500  0.7500  0.7500
Ba  0.0000  0.0000  0.0000
Y  0.5000  0.5000  0.5000
Zn  0.2500  0.2500  0.2500

energy relative to the lowest polymorph listed for this composition	0	meV per atom
M_tot	0.00	Bohr magnetons per cell


[5]
# La2SmNi9

Crystalline La2SmNi9 at its relaxed geometry (PBE-GGA, OQMD).

a b c (Å): 5.1927 5.1927 8.3434
angles (deg): 90.00 90.00 123.22
Positions (direct):
La  0.5000  0.5000  0.2878
La  0.5000  0.5000  0.7122
Ni  0.5000  0.0000  0.0000
Ni  0.0000  0.5000  0.0000
Ni  0.8050  0.1950  0.2571
Ni  0.1950  0.8050  0.2571
Ni  0.0000  0.0000  0.5000
Ni  0.5000  0.0000  0.5000
Ni  0.0000  0.5000  0.5000
Ni  0.8050  0.1950  0.7429
Ni  0.1950  0.8050  0.7429
Sm  0.0000  0.0000  0.0000

formation energy	-0.251	eV per atom
energy relative to the lowest polymorph listed for this composition	88	meV per atom
M_tot	0.01	Bohr magnetons per cell


[6]
# GeTeOs

Crystalline GeTeOs at its relaxed geometry (PBE-GGA, OQMD).

a b c (Å): 4.4055 4.4055 4.4055
angles (deg): 60.00 60.00 60.00
Positions (direct):
Ge  0.2500  0.2500  0.2500
Os  0.0000  0.0000  0.0000
Te  0.7500  0.7500  0.7500

M_tot	0.00	Bohr magnetons per cell


[7]
# LaTbHf

Crystalline LaTbHf at its relaxed geometry (PBE-GGA, OQMD).

a b c (Å): 5.2544 5.2544 5.2544
angles (deg): 60.00 60.00 60.00
Positions (direct):
Hf  0.0000  0.0000  0.0000
La  0.2500  0.2500  0.2500
Tb  0.7500  0.7500  0.7500

formation energy	0.804	eV per atom
energy relative to the lowest polymorph listed for this composition	0	meV per atom
M_tot	1.91	Bohr magnetons per cell


[8]
# BaLuMgAu

Crystalline BaLuMgAu at its relaxed geometry (PBE-GGA, OQMD).

a b c (Å): 5.3368 5.3368 5.3368
angles (deg): 60.00 60.00 60.00
Positions (direct):
Au  0.7500  0.7500  0.7500
Ba  0.5000  0.5000  0.5000
Lu  0.2500  0.2500  0.2500
Mg  0.0000  0.0000  0.0000

energy relative to the lowest polymorph listed for this composition	159	meV per atom
M_tot	0.00	Bohr magnetons per cell


[9]
# Y3In3Ag2Pt

Crystalline Y3In3Ag2Pt at its relaxed geometry (PBE-GGA, OQMD).

a b c (Å): 7.7375 7.7375 3.9682
angles (deg): 90.00 90.00 120.00
Positions (direct):
Ag  0.6667  0.3333  0.0000
Ag  0.3333  0.6667  0.0000
In  0.7417  0.0000  0.0000
In  0.2583  0.2583  0.0000
In  0.0000  0.7417  0.0000
Pt  0.0000  0.0000  0.5000
Y  0.3967  0.0000  0.5000
Y  0.0000  0.3967  0.5000
Y  0.6033  0.6033  0.5000

M_tot	0.01	Bohr magnetons per cell


[10]
# RbTaCu2Te4

Crystalline RbTaCu2Te4 at its relaxed geometry (PBE-GGA, OQMD).

a b c (Å): 6.0285 20.4991 8.2479
angles (deg): 90.00 90.00 90.00
Positions (direct):
Cu  0.9888  0.7491  0.0036
Cu  0.9999  0.1448  0.2446
Cu  0.4999  0.6448  0.2554
Cu  0.4888  0.2491  0.4964
Cu  0.9888  0.7509  0.5036
Cu  0.9999  0.3552  0.7446
Cu  0.4999  0.8552  0.7554
Cu  0.4888  0.2509  0.9964
Rb  0.7424  0.4366  0.2435
Rb  0.2424  0.9366  0.2565
Rb  0.7424  0.0634  0.7435
Rb  0.2424  0.5634  0.7565
Ta  0.4997  0.1451  0.2445
Ta  0.9997  0.6451  0.2555
Ta  0.4997  0.3549  0.7445
Ta  0.9997  0.8549  0.7555
Te  0.2470  0.3571  0.0064
Te  0.7463  0.8552  0.0167
Te  0.7498  0.0400  0.2411
Te  0.7581  0.2510  0.2464
Te  0.2581  0.7510  0.2536
Te  0.2498  0.5400  0.2589
Te  0.2463  0.3552  0.4833
Te  0.7470  0.8571  0.4936
Te  0.2470  0.1429  0.5064
Te  0.7463  0.6448  0.5167
Te  0.7498  0.4600  0.7411
Te  0.7581  0.2490  0.7464
Te  0.2581  0.7490  0.7536
Te  0.2498  0.9600  0.7589
Te  0.2463  0.1448  0.9833
Te  0.7470  0.6429  0.9936

M_tot	0.00	Bohr magnetons per cell


[11]
# Li8Zn3

Crystalline Li8Zn3 at its relaxed geometry (PBE-GGA, OQMD).

a b c (Å): 4.4390 4.4390 10.2056
angles (deg): 102.60 102.60 60.08
Positions (direct):
Li  0.3643  0.3643  0.0927
Li  0.7288  0.7288  0.1864
Li  0.0910  0.0910  0.2723
Li  0.8201  0.8201  0.4596
Li  0.1799  0.1799  0.5404
Li  0.9090  0.9090  0.7277
Li  0.2712  0.2712  0.8136
Li  0.6357  0.6357  0.9073
Zn  0.0000  0.0000  0.0000
Zn  0.4565  0.4565  0.3685
Zn  0.5435  0.5435  0.6315


[12]
# NdY2Bi3

Crystalline NdY2Bi3 at its relaxed geometry (PBE-GGA, OQMD).

a b c (Å): 4.5050 4.5050 11.0384
angles (deg): 90.00 90.00 120.00
Positions (direct):
Bi  0.0000  0.0000  0.0000
Bi  0.3333  0.6667  0.3266
Bi  0.6667  0.3333  0.6734
Nd  0.0000  0.0000  0.5000
Y  0.6667  0.3333  0.1634
Y  0.3333  0.6667  0.8366

M_tot	0.00	Bohr magnetons per cell


no.,total DFT energy (no corrections) (eV per cell)
1,-56.406
2,-14.613
3,-10.294
4,-14.273
5,-67.680
6,-18.288
7,-17.096
8,-11.377
9,-44.822
10,-145.926
11,-20.258
12,-35.399